No. 1
Density functional theory data (GGA-PBEsol) for ReMoW after structural relaxation.

abc: 2.704 2.704 6.795
angles: 97.62 97.62 109.49
Atoms (fractional coordinates):
W 0.333 0.333 0.666
Re 0.666 0.666 0.333
Mo 0.001 0.001 0.001

Density of states at the Fermi level = 2.44 states/eV/f.u.
E_tot = -38.7 eV per cell
Offset from the most stable computed form = 0.016 eV per atom
Formation enthalpy at 0 K = 81.4 meV per atom

=====

No. 2
Density functional theory data (GGA-PBEsol) for Ca6Si6H2O19 after structural relaxation.

abc: 7.034 7.371 8.690
angles: 102.22 90.53 90.05
Atoms (fractional coordinates):
H 0.137 0.449 0.308
O 0.028 0.891 0.775
O 0.152 0.570 0.777
O 0.385 0.287 0.652
O 0.718 0.049 0.704
Si 0.056 0.955 0.317
Ca 0.500 0.000 0.500
O 0.026 0.248 0.772
O 0.848 0.430 0.223
O 0.972 0.109 0.225
O 0.724 0.553 0.702
Si 0.768 0.217 0.211
O 0.615 0.209 0.347
O 0.666 0.141 0.041
Si 0.944 0.045 0.683
Si 0.230 0.363 0.788
O 0.668 0.631 0.042
O 0.276 0.447 0.298
Ca 0.346 0.162 0.135
O 0.334 0.859 0.959
O 0.615 0.713 0.348
O 0.282 0.951 0.296
H 0.863 0.551 0.692
Ca 0.654 0.838 0.865
O 0.974 0.752 0.228
Si 0.232 0.783 0.789
Ca 0.500 0.500 0.500
Ca 0.349 0.657 0.143
Ca 0.651 0.343 0.857
O 0.332 0.369 0.958
O 0.000 0.000 0.500
O 0.385 0.791 0.653
Si 0.770 0.637 0.212

Density of states at the Fermi level = 0.00 states/eV/f.u.
E_tot = -248.2 eV per cell

=====

No. 3
Density functional theory data (GGA-PBEsol) for BeSbBr2 after structural relaxation.

abc: 3.518 3.734 8.675
angles: 90.00 90.00 118.11
Atoms (fractional coordinates):
Be 0.500 0.000 0.758
Br 0.000 0.000 0.916
Br 0.500 0.000 0.287
Sb 0.000 0.000 0.539

Density of states at the Fermi level = 1.63 states/eV/f.u.
E_tot = -12.6 eV per cell
Offset from the most stable computed form = 0.000 eV per atom

=====

No. 4
Density functional theory data (GGA-PBEsol) for KBaSr after structural relaxation.

abc: 4.204 4.204 11.088
angles: 96.68 96.68 112.73
Atoms (fractional coordinates):
Sr 0.662 0.662 0.324
Ba 0.006 0.006 0.012
K 0.332 0.332 0.664

Density of states at the Fermi level = 4.02 states/eV/f.u.
E_tot = -4.9 eV per cell
Offset from the most stable computed form = 0.003 eV per atom
Formation enthalpy at 0 K = 70.2 meV per atom

=====

No. 5
Density functional theory data (GGA-PBEsol) for GeOs3Rh after structural relaxation.

abc: 4.616 4.616 4.616
angles: 90.00 90.00 90.00
Atoms (fractional coordinates):
Os 0.000 0.000 0.500
Os 0.500 0.000 0.000
Ge 0.500 0.500 0.500
Os 0.000 0.500 0.000
Rh 0.000 0.000 0.000

Density of states at the Fermi level = 6.48 states/eV/f.u.
E_tot = -37.2 eV per cell
Formation enthalpy at 0 K = 2512.3 meV per atom

=====

No. 6
Density functional theory data (GGA-PBEsol) for RbLiNF2 after structural relaxation.

abc: 4.109 4.109 4.140
angles: 90.00 90.00 90.00
Each line ends with the local moment (μB).
Atoms (fractional coordinates):
Li 0.000 0.000 0.000  0.01
F 0.000 0.500 0.000  0.14
Rb 0.500 0.500 0.500  0.04
F 0.500 0.000 0.000  0.14
N 0.000 0.000 0.500  1.82

E_tot = -20.6 eV per cell